<i>
## Na2Mn2O3 (SCAN)

Data for Na2Mn2O3 at its PBEsol-relaxed geometry.

Properties
**Crystal system**: monoclinic
**Mass density**: 3.51 g/cm³

a = 6.0804 Å, b = 6.2519 Å, c = 5.6626 Å
α = 90.00°, β = 116.24°, γ = 90.00°
Space group P2_1/c (No. 14)
Unique sites:
Na 0.2371 0.1358 0.4372 (multiplicity 4)
Mn 0.3034 0.6209 0.5230 (multiplicity 4)
O 0.0000 0.0000 0.0000 (multiplicity 2)
O 0.4489 0.6232 0.2627 (multiplicity 4)


<ii>
## Na2Mn2O3 (SCAN)

Data for Na2Mn2O3 at its PBEsol-relaxed geometry.

Properties
**Crystal system**: tetragonal
**Mass density**: 3.60 g/cm³

a = 6.3255 Å, b = 6.3255 Å, c = 9.4123 Å
α = 90.00°, β = 90.00°, γ = 90.00°
Space group P4_32_12 (No. 96)
Unique sites:
Na 0.0276 0.2336 0.3625 (multiplicity 8)
Mn 0.0421 0.2611 0.8836 (multiplicity 8)
O 0.0076 0.2564 0.1028 (multiplicity 8)
O 0.1796 0.8204 0.2500 (multiplicity 4)


Energies relative to the most stable structure are <i> 0.024; <ii> 0.000, reported in eV/atom.


<i>
## Na3MnSe (SCAN)

Data for Na3MnSe at its PBEsol-relaxed geometry.

Properties
**Crystal system**: cubic
**Mass density**: 2.06 g/cm³

a = 5.4713 Å, b = 5.4713 Å, c = 5.4713 Å
α = 90.00°, β = 90.00°, γ = 90.00°
Space group Pm-3m (No. 221)
Unique sites:
Na 0.0000 0.0000 0.5000 (multiplicity 3)
Mn 0.5000 0.5000 0.5000 (multiplicity 1)
Se 0.0000 0.0000 0.0000 (multiplicity 1)


<ii>
## Na3MnSe (SCAN)

Data for Na3MnSe at its PBEsol-relaxed geometry.

Properties
**Crystal system**: cubic
**Mass density**: 2.13 g/cm³

a = 5.4099 Å, b = 5.4099 Å, c = 5.4099 Å
α = 90.00°, β = 90.00°, γ = 90.00°
Space group Pm-3m (No. 221)
Unique sites:
Na 0.0000 0.0000 0.5000 (multiplicity 3)
Mn 0.0000 0.0000 0.0000 (multiplicity 1)
Se 0.5000 0.5000 0.5000 (multiplicity 1)


Energies relative to the most stable structure are <i> 0.000; <ii> 0.603, reported in eV/atom.


<i>
## MnNbPS2 (SCAN)

Data for MnNbPS2 at its PBEsol-relaxed geometry.

Properties
**Crystal system**: tetragonal
**Mass density**: 4.88 g/cm³

a = 4.3367 Å, b = 4.3367 Å, c = 4.3948 Å
α = 90.00°, β = 90.00°, γ = 90.00°
Space group P4/mmm (No. 123)
Unique sites:
Mn 0.0000 0.0000 0.0000 (multiplicity 1)
Nb 0.5000 0.5000 0.5000 (multiplicity 1)
P 0.0000 0.0000 0.5000 (multiplicity 1)
S 0.0000 0.5000 0.0000 (multiplicity 2)


<ii>
## MnNbPS2 (SCAN)

Data for MnNbPS2 at its PBEsol-relaxed geometry.

Properties
**Crystal system**: tetragonal
**Mass density**: 3.73 g/cm³

a = 4.6874 Å, b = 4.6874 Å, c = 4.9197 Å
α = 90.00°, β = 90.00°, γ = 90.00°
Space group P4/mmm (No. 123)
Unique sites:
Mn 0.0000 0.0000 0.0000 (multiplicity 1)
Nb 0.5000 0.5000 0.5000 (multiplicity 1)
P 0.5000 0.5000 0.0000 (multiplicity 1)
S 0.0000 0.5000 0.5000 (multiplicity 2)


Energies relative to the most stable structure are <i> 0.326; <ii> 0.000, reported in eV/atom.


<i>
## Sr2NdMn2O7 (SCAN)

Data for Sr2NdMn2O7 at its PBEsol-relaxed geometry.

Properties
**Crystal system**: tetragonal
**Mass density**: 6.21 g/cm³

a = 3.8250 Å, b = 3.8250 Å, c = 19.7773 Å
α = 90.00°, β = 90.00°, γ = 90.00°
Space group I4mm (No. 107)
Unique sites:
Sr 0.0000 0.0000 0.0000 (multiplicity 2)
Sr 0.0000 0.0000 0.1776 (multiplicity 2)
Nd 0.0000 0.0000 0.3638 (multiplicity 2)
Mn 0.0000 0.0000 0.5829 (multiplicity 2)
Mn 0.0000 0.0000 0.7778 (multiplicity 2)
O 0.0000 0.0000 0.4813 (multiplicity 2)
O 0.0000 0.0000 0.6834 (multiplicity 2)
O 0.0000 0.0000 0.8776 (multiplicity 2)
O 0.0000 0.5000 0.0851 (multiplicity 4)
O 0.0000 0.5000 0.2849 (multiplicity 4)


<ii>
## Sr2NdMn2O7 (SCAN)

Data for Sr2NdMn2O7 at its PBEsol-relaxed geometry.

Properties
**Crystal system**: tetragonal
**Mass density**: 6.23 g/cm³

a = 3.8113 Å, b = 3.8113 Å, c = 19.8538 Å
α = 90.00°, β = 90.00°, γ = 90.00°
Space group I4/mmm (No. 139)
Unique sites:
Sr 0.0000 0.0000 0.1828 (multiplicity 4)
Nd 0.0000 0.0000 0.0000 (multiplicity 2)
Mn 0.0000 0.0000 0.4027 (multiplicity 4)
O 0.0000 0.0000 0.3070 (multiplicity 4)
O 0.0000 0.0000 0.5000 (multiplicity 2)
O 0.0000 0.5000 0.0901 (multiplicity 8)


Energies relative to the most stable structure are <i> 0.010; <ii> 0.000, reported in eV/atom.


<i>
## Mn5Ni (SCAN)

Data for Mn5Ni at its PBEsol-relaxed geometry.

Properties
**Crystal system**: orthorhombic
**Mass density**: 8.66 g/cm³

a = 3.5031 Å, b = 10.5844 Å, c = 3.4492 Å
α = 90.00°, β = 90.00°, γ = 90.00°
Space group Cmmm (No. 65)
Unique sites:
Mn 0.0000 0.0000 0.0000 (multiplicity 2)
Mn 0.0000 0.1626 0.5000 (multiplicity 4)
Mn 0.0000 0.3349 0.0000 (multiplicity 4)
Ni 0.0000 0.5000 0.5000 (multiplicity 2)


<ii>
## Mn5Ni (SCAN)

Data for Mn5Ni at its PBEsol-relaxed geometry.

Properties
**Crystal system**: monoclinic
**Mass density**: 8.99 g/cm³

a = 8.9298 Å, b = 2.4454 Å, c = 5.8156 Å
α = 90.00°, β = 104.20°, γ = 90.00°
Space group Cm (No. 8)
Unique sites:
Mn 0.0000 0.0000 0.0000 (multiplicity 2)
Mn 0.0544 0.0000 0.6210 (multiplicity 2)
Mn 0.1662 0.5000 0.3368 (multiplicity 2)
Mn 0.2224 0.5000 0.9453 (multiplicity 2)
Mn 0.3332 0.0000 0.6683 (multiplicity 2)
Ni 0.3888 0.0000 0.2804 (multiplicity 2)


Energies relative to the most stable structure are <i> 0.000; <ii> 0.245, reported in eV/atom.


<i>
## Mn5Ni (SCAN)

Data for Mn5Ni at its PBEsol-relaxed geometry.

Properties
**Crystal system**: orthorhombic
**Mass density**: 9.00 g/cm³

a = 3.9212 Å, b = 2.4385 Å, c = 12.8669 Å
α = 90.00°, β = 90.00°, γ = 90.00°
Space group Amm2 (No. 38)
Unique sites:
Mn 0.0000 0.0000 0.0000 (multiplicity 2)
Mn 0.0000 0.0000 0.3310 (multiplicity 2)
Mn 0.0000 0.0000 0.6641 (multiplicity 2)
Mn 0.5000 0.0000 0.2234 (multiplicity 2)
Mn 0.5000 0.0000 0.5575 (multiplicity 2)
Ni 0.5000 0.0000 0.8883 (multiplicity 2)


<ii>
## Mn5Ni (SCAN)

Data for Mn5Ni at its PBEsol-relaxed geometry.

Properties
**Crystal system**: hexagonal
**Mass density**: 9.01 g/cm³

a = 4.2601 Å, b = 4.2601 Å, c = 3.9100 Å
α = 90.00°, β = 90.00°, γ = 120.00°
Space group P-62m (No. 189)
Unique sites:
Mn 0.0000 0.3341 0.0000 (multiplicity 3)
Mn 0.3333 0.6667 0.5000 (multiplicity 2)
Ni 0.0000 0.0000 0.5000 (multiplicity 1)


Energies relative to the most stable structure are <i> 0.009; <ii> 0.000, reported in eV/atom.


<i>
## MnNiP2O8 (SCAN)

Data for MnNiP2O8 at its PBEsol-relaxed geometry.

Properties
**Crystal system**: trigonal
**Mass density**: 3.70 g/cm³

a = 8.4048 Å, b = 8.4048 Å, c = 20.0242 Å
α = 90.00°, β = 90.00°, γ = 120.00°
Space group R3 (No. 146, hexagonal axes)
Unique sites:
Mn 0.0000 0.0000 0.0000 (multiplicity 3)
Mn 0.0000 0.0000 0.1418 (multiplicity 3)
Mn 0.0000 0.0000 0.5000 (multiplicity 3)
Ni 0.0000 0.0000 0.3604 (multiplicity 3)
Ni 0.0000 0.0000 0.6407 (multiplicity 3)
Ni 0.0000 0.0000 0.8601 (multiplicity 3)
P 0.0006 0.2902 0.2507 (multiplicity 9)
P 0.0453 0.6674 0.4180 (multiplicity 9)
O 0.0002 0.8014 0.6864 (multiplicity 9)
O 0.0028 0.8047 0.8162 (multiplicity 9)
O 0.0036 0.1998 0.3153 (multiplicity 9)
O 0.0173 0.8385 0.4277 (multiplicity 9)
O 0.0183 0.1801 0.9254 (multiplicity 9)
O 0.1476 0.4758 0.8540 (multiplicity 9)
O 0.1703 0.6802 0.7438 (multiplicity 9)
O 0.1716 0.4854 0.2387 (multiplicity 9)


<ii>
## MnNiP2O8 (SCAN)

Data for MnNiP2O8 at its PBEsol-relaxed geometry.

Properties
**Crystal system**: monoclinic
**Mass density**: 4.01 g/cm³

a = 4.6526 Å, b = 5.5935 Å, c = 9.6563 Å
α = 90.00°, β = 90.24°, γ = 90.00°
Space group P2_1/m (No. 11)
Unique sites:
Mn 0.0416 0.2500 0.2273 (multiplicity 2)
Ni 0.4504 0.2500 0.7327 (multiplicity 2)
P 0.0922 0.7500 0.0875 (multiplicity 2)
P 0.3915 0.7500 0.5923 (multiplicity 2)
O 0.1805 0.7500 0.9335 (multiplicity 2)
O 0.2300 0.2500 0.9003 (multiplicity 2)
O 0.2300 0.5412 0.6721 (multiplicity 4)
O 0.2449 0.5341 0.1650 (multiplicity 4)
O 0.2843 0.2500 0.3794 (multiplicity 2)
O 0.3334 0.7500 0.4392 (multiplicity 2)


Energies relative to the most stable structure are <i> 0.085; <ii> 0.000, reported in eV/atom.


<i>
## MnNi2Os (SCAN)

Data for MnNi2Os at its PBEsol-relaxed geometry.

Properties
**Crystal system**: trigonal
**Mass density**: 12.77 g/cm³

a = 2.5777 Å, b = 2.5777 Å, c = 24.5784 Å
α = 90.00°, β = 90.00°, γ = 120.00°
Space group R-3m (No. 166, hexagonal axes)
Unique sites:
Mn 0.0000 0.0000 0.0000 (multiplicity 3)
Ni 0.0000 0.0000 0.2521 (multiplicity 6)
Os 0.0000 0.0000 0.5000 (multiplicity 3)


<ii>
## MnNi2Os (SCAN)

Data for MnNi2Os at its PBEsol-relaxed geometry.

Properties
**Crystal system**: tetragonal
**Mass density**: 13.22 g/cm³

a = 3.5828 Å, b = 3.5828 Å, c = 7.0966 Å
α = 90.00°, β = 90.00°, γ = 90.00°
Space group I-4m2 (No. 119)
Unique sites:
Mn 0.0000 0.0000 0.0000 (multiplicity 2)
Ni 0.0000 0.0000 0.5000 (multiplicity 2)
Ni 0.0000 0.5000 0.7500 (multiplicity 2)
Os 0.0000 0.5000 0.2500 (multiplicity 2)


Energies relative to the most stable structure are <i> 0.099; <ii> 0.000, reported in eV/atom.


<i>
## MnNiOs2 (SCAN)

Data for MnNiOs2 at its PBEsol-relaxed geometry.

Properties
**Crystal system**: tetragonal
**Mass density**: 16.57 g/cm³

a = 3.7044 Å, b = 3.7044 Å, c = 7.2163 Å
α = 90.00°, β = 90.00°, γ = 90.00°
Space group I4/mmm (No. 139)
Unique sites:
Mn 0.0000 0.0000 0.0000 (multiplicity 2)
Ni 0.0000 0.0000 0.5000 (multiplicity 2)
Os 0.0000 0.5000 0.2500 (multiplicity 4)


<ii>
## MnNiOs2 (SCAN)

Data for MnNiOs2 at its PBEsol-relaxed geometry.

Properties
**Crystal system**: orthorhombic
**Mass density**: 15.68 g/cm³

a = 2.7569 Å, b = 4.4414 Å, c = 8.5450 Å
α = 90.00°, β = 90.00°, γ = 90.00°
Space group Cmm2 (No. 35)
Unique sites:
Mn 0.0000 0.0000 0.0000 (multiplicity 2)
Ni 0.0000 0.5000 0.7692 (multiplicity 2)
Os 0.0000 0.0000 0.5186 (multiplicity 2)
Os 0.0000 0.5000 0.2472 (multiplicity 2)


Energies relative to the most stable structure are <i> 0.000; <ii> 0.255, reported in eV/atom.